1.
The following is a PBE-GGA calculation of a relaxed Gd2Ni crystal, from OQMD via LeMat-Bulk.

Computed properties:
Its energy of formation is -147 meV per atom. Its density is 7.351 g/cm3.

POSCAR file:
```
Gd2Ni
1.0
6.442 0.000 0.000
0.000 6.442 0.000
0.000 0.000 4.063
Gd Ni
4 2
Direct
0.199 0.801 0.500 Gd
0.301 0.301 0.000 Gd
0.699 0.699 0.000 Gd
0.801 0.199 0.500 Gd
0.500 0.500 0.500 Ni
0.000 0.000 0.000 Ni
```

=====

2.
The following is a PBE-GGA calculation of a relaxed GdNi crystal, from OQMD via LeMat-Bulk.

Computed properties:
Its energy of formation is 443 meV per atom. Its density is 6.451 g/cm3.

POSCAR file:
```
GdNi
1.0
4.267 -0.101 0.362
1.821 -2.001 3.321
2.115 -3.675 -0.611
Ni Gd
1 1
Direct
0.250 0.250 0.250 Ni
0.000 0.000 0.000 Gd
```